[1]
## LaTeIr2 (GGA-PBE)

Data for a relaxed structure of LaTeIr2.

a b c (Å): 4.4752 4.4752 4.1268
angles (deg): 90.00 90.00 90.00
Closest atoms and distances in Å follow each position.
Sites, in units of the cell vectors:
Ir 0.0000 0.0000 0.0000  4 La 3.04, 4 Te 3.04, 4 Ir 3.16
Ir 0.5000 0.5000 0.0000  4 La 3.04, 4 Te 3.04, 4 Ir 3.16
La 0.5000 0.0000 0.5000  8 Ir 3.04, 4 Te 3.16
Te 0.0000 0.5000 0.5000  8 Ir 3.04, 4 La 3.16

Properties
N(E_F) (states/eV/f.u.): 2.7
SG: P4/mmm
Total magnetic moment (μB per atom): 0.00
Energy relative to the elements, uncorrected (kJ/mol of atoms): -17.4
Total DFT energy (no corrections) (eV per atom): -6.63

---

[2]
## Rb4GaSn3Cl12 (GGA-PBE)

Data for a relaxed structure of Rb4GaSn3Cl12.

a b c (Å): 9.5045 9.5045 9.5045
angles (deg): 109.47 109.47 109.47
Closest atoms and distances in Å follow each position.
Sites, in units of the cell vectors:
Rb 0.5000 0.5000 0.5000  12 Cl 3.88
Rb 0.0000 0.0000 0.5000  12 Cl 3.88
Rb 0.5000 0.0000 0.0000  12 Cl 3.88
Rb 0.0000 0.5000 0.0000  12 Cl 3.88
Ga 0.0000 0.0000 0.0000  6 Cl 2.68
Sn 0.5000 0.0000 0.5000  6 Cl 2.74-2.81
Sn 0.5000 0.5000 0.0000  6 Cl 2.74-2.81
Sn 0.0000 0.5000 0.5000  6 Cl 2.74-2.81
Cl 0.2500 0.5000 0.7500  2 Sn 2.74
Cl 0.7562 0.0000 0.7562  1 Ga 2.68, 1 Sn 2.81
Cl 0.2438 0.0000 0.2438  1 Ga 2.68, 1 Sn 2.81
Cl 0.7500 0.5000 0.2500  2 Sn 2.74
Cl 0.7562 0.7562 0.0000  1 Ga 2.68, 1 Sn 2.81
Cl 0.2438 0.2438 0.0000  1 Ga 2.68, 1 Sn 2.81
Cl 0.7500 0.2500 0.5000  2 Sn 2.74
Cl 0.2500 0.7500 0.5000  2 Sn 2.74
Cl 0.5000 0.2500 0.7500  2 Sn 2.74
Cl 0.0000 0.7562 0.7562  1 Ga 2.68, 1 Sn 2.81
Cl 0.5000 0.7500 0.2500  2 Sn 2.74
Cl 0.0000 0.2438 0.2438  1 Ga 2.68, 1 Sn 2.81

Properties
N(E_F) (states/eV/f.u.): 2.0
SG: Im-3m
Total magnetic moment (μB per atom): 0.00
Energy relative to the elements, uncorrected (kJ/mol of atoms): -132.0
Total DFT energy (no corrections) (eV per atom): -3.42

---

[3]
## Rb2PaBO6 (GGA-PBE)

Data for a relaxed structure of Rb2PaBO6.

a b c (Å): 5.2026 6.3239 6.3239
angles (deg): 120.00 90.00 90.00
Closest atoms and distances in Å follow each position.
Sites, in units of the cell vectors:
Rb 0.1359 0.3333 0.6667  3 O 2.86
Rb 0.8641 0.6667 0.3333  3 O 2.86
Pa 0.5000 0.0000 0.0000  6 O 2.08
B 0.0000 0.0000 0.0000  6 O 1.74
O 0.7988 0.1268 0.2537  1 B 1.74
O 0.7988 0.1268 0.8732  1 B 1.74
O 0.7988 0.7463 0.8732  1 B 1.74
O 0.2012 0.8732 0.1268  1 B 1.74
O 0.2012 0.2537 0.1268  1 B 1.74
O 0.2012 0.8732 0.7463  1 B 1.74

Properties
N(E_F) (states/eV/f.u.): 5.6
SG: P-3m1
Total magnetic moment (μB per atom): 0.00
Energy relative to the elements, uncorrected (kJ/mol of atoms): -174.0
Total DFT energy (no corrections) (eV per atom): -6.59

---

[4]
## Zr4FeSn2 (GGA-PBE)

Data for a relaxed structure of Zr4FeSn2.

a b c (Å): 4.6597 4.6597 8.3582
angles (deg): 73.81 73.81 90.00
Closest atoms and distances in Å follow each position.
Sites, in units of the cell vectors:
Sn 0.3590 0.3590 0.2821  5 Zr 2.96-3.18
Sn 0.6410 0.6410 0.7179  5 Zr 2.96-3.18
Zr 0.1663 0.1663 0.6674  1 Fe 2.56
Zr 0.8337 0.8337 0.3326  1 Fe 2.56
Zr 0.0000 0.5000 0.0000  2 Fe 2.33
Zr 0.5000 0.0000 0.0000  2 Fe 2.33
Fe 0.0000 0.0000 0.0000  6 Zr 2.33-2.56

Properties
N(E_F) (states/eV/f.u.): 7.3
SG: I4/mmm
Total magnetic moment (μB per atom): 0.00
Total DFT energy (no corrections) (eV per atom): -7.35
Energy relative to the elements (meV per atom): -108.7

---

[5]
## Ba3Te2O7 (GGA-PBE)

Data for a relaxed structure of Ba3Te2O7.

a b c (Å): 4.2595 4.3814 11.8754
angles (deg): 100.63 90.00 90.00
Closest atoms and distances in Å follow each position.
Sites, in units of the cell vectors:
Ba 0.5000 0.5000 0.0000  12 O 3.06-3.22
Ba 0.5000 0.6785 0.3570  8 O 2.83-3.06
Ba 0.5000 0.3215 0.6430  8 O 2.83-3.06
Te 0.0000 0.9013 0.8025  6 O 2.08-2.30
Te 0.0000 0.0987 0.1975  6 O 2.08-2.30
O 0.0000 0.4013 0.8026  2 Te 2.19
O 0.0000 0.8123 0.6245  1 Te 2.08
O 0.0000 0.0000 0.0000  2 Te 2.30
O 0.0000 0.5987 0.1974  2 Te 2.19
O 0.5000 0.1008 0.2016  2 Te 2.13
O 0.5000 0.8992 0.7984  2 Te 2.13
O 0.0000 0.1877 0.3755  1 Te 2.08

Properties
N(E_F) (states/eV/f.u.): 0.6
SG: Cmmm
Total magnetic moment (μB per atom): 0.00
Energy relative to the elements, uncorrected (kJ/mol of atoms): -175.6
Total DFT energy (no corrections) (eV per atom): -5.72

---

[6]
## AcSn4Pd4 (GGA-PBE)

Data for a relaxed structure of AcSn4Pd4.

a b c (Å): 5.2857 9.0969 9.0969
angles (deg): 90.00 90.00 90.00
Closest atoms and distances in Å follow each position.
Sites, in units of the cell vectors:
Ac 0.0000 0.0000 0.0000  4 Pd 3.23
Ac 0.5000 0.5000 0.5000  4 Pd 3.23
Sn 0.4533 0.3622 0.8885  5 Pd 2.66-2.81
Sn 0.9533 0.6115 0.8622  5 Pd 2.66-2.81
Sn 0.4533 0.6378 0.1115  5 Pd 2.66-2.81
Sn 0.0467 0.1378 0.6115  5 Pd 2.66-2.81
Sn 0.5467 0.8885 0.6378  5 Pd 2.66-2.81
Sn 0.0467 0.8622 0.3885  5 Pd 2.66-2.81
Sn 0.9533 0.3885 0.1378  5 Pd 2.66-2.81
Sn 0.5467 0.1115 0.3622  5 Pd 2.66-2.81
Pd 0.5449 0.8143 0.3379  5 Sn 2.66-2.81, 1 Pd 2.94
Pd 0.5449 0.1857 0.6621  5 Sn 2.66-2.81, 1 Pd 2.94
Pd 0.0449 0.8379 0.6857  5 Sn 2.66-2.81, 1 Pd 2.94
Pd 0.9551 0.3143 0.8379  5 Sn 2.66-2.81, 1 Pd 2.94
Pd 0.9551 0.6857 0.1621  5 Sn 2.66-2.81, 1 Pd 2.94
Pd 0.4551 0.3379 0.1857  5 Sn 2.66-2.81, 1 Pd 2.94
Pd 0.4551 0.6621 0.8143  5 Sn 2.66-2.81, 1 Pd 2.94
Pd 0.0449 0.1621 0.3143  5 Sn 2.66-2.81, 1 Pd 2.94

Properties
N(E_F) (states/eV/f.u.): 3.9
SG: P4_2/n
Total magnetic moment (μB per atom): 0.00
Total DFT energy (no corrections) (eV per atom): -5.08
Energy relative to the elements (meV per atom): -537.4
Polymorph energy (0 for the lowest one) (eV per atom): 0.079

---

[7]
## Mg2FeHgN (GGA-PBE)

Data for a relaxed structure of Mg2FeHgN.

a b c (Å): 4.5172 4.5172 3.6036
angles (deg): 90.00 90.00 90.00
Closest atoms and distances in Å follow each position.
Sites, in units of the cell vectors:
Mg 0.0000 0.5000 0.0000  2 N 2.26
Mg 0.5000 0.0000 0.0000  2 N 2.26
N 0.0000 0.0000 0.0000  2 Fe 1.80
Hg 0.5000 0.5000 0.5000  8 Mg 2.89, 4 Fe 3.19
Fe 0.0000 0.0000 0.5000  2 N 1.80

Properties
N(E_F) (states/eV/f.u.): 2.3
SG: P4/mmm
Total magnetic moment (μB per atom): 0.08
Energy relative to the elements, uncorrected (kJ/mol of atoms): -22.9
Total DFT energy (no corrections) (eV per atom): -4.29

---

[8]
## Li7N2Cl2 (GGA-PBE)

Data for a relaxed structure of Li7N2Cl2.

a b c (Å): 5.0473 5.7251 5.0473
angles (deg): 90.00 96.93 90.00
Closest atoms and distances in Å follow each position.
Sites, in units of the cell vectors:
Li 0.0000 0.2149 0.5000  2 N 2.08
Li 0.5000 0.7851 0.0000  2 N 2.08
Li 0.0000 0.7851 0.5000  2 N 2.08
Li 0.5000 0.2149 0.0000  2 N 2.08
Li 0.0000 0.0000 0.0000  2 N 2.07
Li 0.5000 0.7994 0.5000  2 N 2.06, 1 Li 2.30
Li 0.5000 0.2006 0.5000  2 N 2.06, 1 Li 2.30
N 0.7261 0.0000 0.2739  7 Li 2.06-2.08
N 0.2739 0.0000 0.7261  7 Li 2.06-2.08
Cl 0.7540 0.5000 0.7540  6 Li 2.41-2.50
Cl 0.2460 0.5000 0.2460  6 Li 2.41-2.50

Properties
N(E_F) (states/eV/f.u.): 3.2
SG: Cmmm
Total magnetic moment (μB per atom): 0.09
Energy relative to the elements, uncorrected (kJ/mol of atoms): -75.2
Total DFT energy (no corrections) (eV per atom): -3.85

---

[9]
## BeIrF (GGA-PBE)

Data for a relaxed structure of BeIrF.

a b c (Å): 3.8080 3.8080 3.8080
angles (deg): 60.00 60.00 60.00
Closest atoms and distances in Å follow each position.
Sites, in units of the cell vectors:
Be 0.7500 0.7500 0.7500  4 F 2.33
Ir 0.2500 0.2500 0.2500  4 F 2.33
F 0.0000 0.0000 0.0000  4 Be 2.33, 4 Ir 2.33

Properties
N(E_F) (states/eV/f.u.): 6.7
SG: F-43m
Total magnetic moment (μB per atom): 0.50
Energy relative to the elements, uncorrected (kJ/mol of atoms): 70.8
Total DFT energy (no corrections) (eV per atom): -4.09
Polymorph energy (0 for the lowest one) (eV per atom): 2.157

---

[10]
## Ba2LiPtI (GGA-PBE)

Data for a relaxed structure of Ba2LiPtI.

a b c (Å): 6.0251 4.8060 6.0251
angles (deg): 90.00 90.00 90.00
Closest atoms and distances in Å follow each position.
Sites, in units of the cell vectors:
I 0.0000 0.5000 0.0000  2 Li 2.40
Ba 0.0000 0.0000 0.5000  2 Li 3.01
Ba 0.5000 0.0000 0.0000  2 Li 3.01
Pt 0.5000 0.5000 0.5000  8 Ba 3.85, 4 I 4.26
Li 0.0000 0.0000 0.0000  2 I 2.40

Properties
N(E_F) (states/eV/f.u.): 3.4
SG: P4/mmm
Total magnetic moment (μB per atom): 0.00
Energy relative to the elements, uncorrected (kJ/mol of atoms): -17.0
Total DFT energy (no corrections) (eV per atom): -2.85
Polymorph energy (0 for the lowest one) (eV per atom): 0.594

---

[11]
## TbPuTaN3 (GGA-PBE)

Data for a relaxed structure of TbPuTaN3.

a b c (Å): 3.3283 5.7673 8.6672
angles (deg): 102.76 90.00 90.00
Closest atoms and distances in Å follow each position.
Sites, in units of the cell vectors:
Tb 0.7500 0.6491 0.6843  7 N 2.48-2.55
Tb 0.2500 0.3509 0.3157  7 N 2.48-2.55
Pu 0.2500 0.7650 0.0462  6 N 2.38-2.49
Pu 0.7500 0.2350 0.9538  6 N 2.38-2.49
Ta 0.2500 0.1311 0.6331  5 N 2.11-2.25
Ta 0.7500 0.8689 0.3669  5 N 2.11-2.25
N 0.2500 0.7542 0.4894  3 Ta 2.15-2.25
N 0.7500 0.0438 0.1704  1 Ta 2.16, 3 Pu 2.38-2.40
N 0.7500 0.5605 0.1836  1 Ta 2.11
N 0.7500 0.2458 0.5106  3 Ta 2.15-2.25
N 0.2500 0.4395 0.8164  1 Ta 2.11
N 0.2500 0.9562 0.8296  1 Ta 2.16, 3 Pu 2.38-2.40

Properties
N(E_F) (states/eV/f.u.): 6.6
SG: P2_1/m
Total magnetic moment (μB per atom): 0.79
Energy relative to the elements, uncorrected (kJ/mol of atoms): -128.1
Total DFT energy (no corrections) (eV per atom): -10.63

---

[12]
## PrDy4Ho4 (GGA-PBE)

Data for a relaxed structure of PrDy4Ho4.

a b c (Å): 10.1767 8.8361 12.3916
angles (deg): 96.63 66.15 142.80
Closest atoms and distances in Å follow each position.
Sites, in units of the cell vectors:
Pr 0.9995 0.9995 0.7502  4 Ho 3.55, 8 Dy 3.55-3.58
Pr 0.0005 0.0005 0.2498  4 Ho 3.55, 8 Dy 3.55-3.58
Dy 0.2223 0.5580 0.6391  4 Dy 3.51-3.57, 7 Ho 3.51-3.59, 1 Pr 3.55
Dy 0.5535 0.8888 0.3060  7 Ho 3.50-3.60, 4 Dy 3.51-3.57, 1 Pr 3.55
Dy 0.3334 0.3332 0.4168  3 Ho 3.54-3.55, 6 Dy 3.54-3.58, 3 Pr 3.58
Dy 0.3333 0.3336 0.9170  5 Ho 3.54, 4 Dy 3.55-3.58, 3 Pr 3.57-3.58
Dy 0.6666 0.6668 0.5832  3 Ho 3.54-3.55, 6 Dy 3.54-3.58, 3 Pr 3.58
Dy 0.6667 0.6664 0.0830  5 Ho 3.54, 4 Dy 3.55-3.58, 3 Pr 3.57-3.58
Dy 0.7777 0.4420 0.3609  4 Dy 3.51-3.57, 7 Ho 3.51-3.59, 1 Pr 3.55
Dy 0.4465 0.1112 0.6940  7 Ho 3.50-3.60, 4 Dy 3.51-3.57, 1 Pr 3.55
Ho 0.1118 0.7766 0.5265  8 Dy 3.50-3.59, 3 Ho 3.50-3.60, 1 Pr 3.55
Ho 0.1121 0.7767 0.0264  7 Ho 3.49-3.59, 4 Dy 3.54-3.59, 1 Pr 3.55
Ho 0.5530 0.8884 0.8065  6 Ho 3.49-3.59, 5 Dy 3.50-3.59, 1 Pr 3.55
Ho 0.2236 0.5591 0.1384  6 Ho 3.50-3.60, 5 Dy 3.51-3.60, 1 Pr 3.55
Ho 0.7764 0.4409 0.8616  6 Ho 3.50-3.60, 5 Dy 3.51-3.60, 1 Pr 3.55
Ho 0.4470 0.1116 0.1935  6 Ho 3.49-3.59, 5 Dy 3.50-3.59, 1 Pr 3.55
Ho 0.8879 0.2233 0.9736  7 Ho 3.49-3.59, 4 Dy 3.54-3.59, 1 Pr 3.55
Ho 0.8882 0.2234 0.4735  8 Dy 3.50-3.59, 3 Ho 3.50-3.60, 1 Pr 3.55

Properties
N(E_F) (states/eV/f.u.): 12.1
SG: P-1
Total magnetic moment (μB per atom): 0.00
Total DFT energy (no corrections) (eV per atom): -4.61
Energy relative to the elements (meV per atom): -2.6
Polymorph energy (0 for the lowest one) (eV per atom): 0.000